Density functional theory data (PBE) for a relaxed Hf4Ti9In11 crystal.

Lattice parameters (Å, degrees): 2.998 12.656 12.656 90.82 90.00 90.00
Last column: magnetic moment on the atom in μB.
Sites, in units of the cell vectors:
1 In 0.000 0.411 0.073  0.00
2 In 0.000 0.927 0.589  0.00
3 Hf 0.500 0.450 0.281  0.01
4 In 0.000 0.589 0.927  0.00
5 In 0.000 0.173 0.827  0.00
6 In 0.000 0.653 0.347  -0.01
7 In 0.000 0.236 0.236  0.00
8 Ti 0.500 0.376 0.871  0.02
9 Hf 0.500 0.719 0.550  0.01
10 Hf 0.500 0.281 0.450  0.01
11 In 0.000 0.764 0.764  0.00
12 In 0.000 0.000 0.000  0.00
13 Ti 0.500 0.031 0.205  -0.01
14 In 0.000 0.347 0.653  -0.01
15 In 0.000 0.073 0.411  0.00
16 Ti 0.500 0.795 0.969  -0.01
17 Ti 0.500 0.129 0.624  0.02
18 Hf 0.500 0.550 0.719  0.01
19 Ti 0.500 0.969 0.795  -0.01
20 In 0.000 0.827 0.173  0.00
21 Ti 0.500 0.871 0.376  0.02
22 Ti 0.500 0.500 0.500  0.65
23 Ti 0.500 0.205 0.031  -0.01
24 Ti 0.500 0.624 0.129  0.02

Values from the calculation:
E: -5.960 eV per atom
Total magnetization: 0.9 Bohr magnetons per cell
Energy of formation from the pure elements: -2.05 eV/f.u.
Calculated volume: 20.0 Å³ per atom
Space group: Cmmm (65)